Record 1
A geometry-optimized NaPuSnI6 structure, computed with PBE.

## Properties
Electronic total energy   -73.77 eV/cell
Theoretical density   4.9 Mg/m³
Formation energy without anion corrections   -0.88 eV/atom

Geometry as CIF:
```
data_NaPuSnI6
_chemical_formula_sum 'Na2 Pu2 Sn2 I12'
_cell_length_a 7.8994
_cell_length_b 7.8994
_cell_length_c 14.2683
_cell_angle_alpha 90.00
_cell_angle_beta 90.00
_cell_angle_gamma 120.00
_space_group_name_H-M_alt 'P 1'
_space_group_IT_number 1
loop_
_space_group_symop_operation_xyz
'x,y,z'
loop_
_atom_site_label
_atom_site_type_symbol
_atom_site_fract_x
_atom_site_fract_y
_atom_site_fract_z
Na1 Na 0.3333 0.6667 0.2500
Na2 Na 0.6667 0.3333 0.7500
Pu1 Pu 0.3333 0.6667 0.7500
Pu2 Pu 0.6667 0.3333 0.2500
Sn1 Sn 0.0000 0.0000 0.0000
Sn2 Sn 0.0000 0.0000 0.5000
I1 I 0.0124 0.3467 0.6236
I2 I 0.0124 0.6657 0.8764
I3 I 0.3343 0.3467 0.8764
I4 I 0.3343 0.9876 0.6236
I5 I 0.3467 0.0124 0.1236
I6 I 0.3467 0.3343 0.3764
I7 I 0.6533 0.6657 0.6236
I8 I 0.6533 0.9876 0.8764
I9 I 0.6657 0.0124 0.3764
I10 I 0.6657 0.6533 0.1236
I11 I 0.9876 0.3343 0.1236
I12 I 0.9876 0.6533 0.3764
```

=====

Record 2
A geometry-optimized NaSrPuI6 structure, computed with PBE.

## Properties
Electronic total energy   -76.45 eV/cell
Theoretical density   4.4 Mg/m³
Formation energy without anion corrections   -1.29 eV/atom

Geometry as CIF:
```
data_NaSrPuI6
_chemical_formula_sum 'Na2 Sr2 Pu2 I12'
_cell_length_a 7.5999
_cell_length_b 7.5999
_cell_length_c 14.4461
_cell_angle_alpha 90.00
_cell_angle_beta 90.00
_cell_angle_gamma 90.00
_space_group_name_H-M_alt 'P 1'
_space_group_IT_number 1
loop_
_space_group_symop_operation_xyz
'x,y,z'
loop_
_atom_site_label
_atom_site_type_symbol
_atom_site_fract_x
_atom_site_fract_y
_atom_site_fract_z
Na1 Na 0.0000 0.0000 0.0000
Na2 Na 0.5000 0.5000 0.5000
Sr1 Sr 0.0000 0.0000 0.3318
Sr2 Sr 0.5000 0.5000 0.8318
Pu1 Pu 0.0000 0.0000 0.6666
Pu2 Pu 0.5000 0.5000 0.1666
I1 I 0.1919 0.1919 0.8285
I2 I 0.1950 0.1950 0.5076
I3 I 0.2092 0.2092 0.1640
I4 I 0.2908 0.7092 0.6640
I5 I 0.3050 0.6950 0.0076
I6 I 0.3081 0.6919 0.3285
I7 I 0.6919 0.3081 0.3285
I8 I 0.6950 0.3050 0.0076
I9 I 0.7092 0.2908 0.6640
I10 I 0.7908 0.7908 0.1640
I11 I 0.8050 0.8050 0.5076
I12 I 0.8081 0.8081 0.8285
```

=====

Record 3
A geometry-optimized Na2SrPuI6 structure, computed with PBE.

## Properties
Electronic total energy   -40.79 eV/cell
Theoretical density   4.4 Mg/m³
Formation energy without anion corrections   -1.28 eV/atom

Geometry as CIF:
```
data_Na2SrPuI6
_chemical_formula_sum 'Na2 Sr1 Pu1 I6'
_cell_length_a 8.8046
_cell_length_b 8.8046
_cell_length_c 8.8046
_cell_angle_alpha 55.25
_cell_angle_beta 55.25
_cell_angle_gamma 55.25
_space_group_name_H-M_alt 'P 1'
_space_group_IT_number 1
loop_
_space_group_symop_operation_xyz
'x,y,z'
loop_
_atom_site_label
_atom_site_type_symbol
_atom_site_fract_x
_atom_site_fract_y
_atom_site_fract_z
Na1 Na 0.0000 0.0000 0.0000
Na2 Na 0.4994 0.4994 0.4994
Sr1 Sr 0.3083 0.3083 0.3083
Pu1 Pu 0.8096 0.8096 0.8096
I1 I 0.0910 0.7171 0.4053
I2 I 0.2138 0.5997 0.8969
I3 I 0.4053 0.0910 0.7171
I4 I 0.5997 0.8969 0.2138
I5 I 0.7171 0.4053 0.0910
I6 I 0.8969 0.2138 0.5997
```

=====

Record 4
A geometry-optimized NaPuTl2I6 structure, computed with PBE.

## Properties
Electronic total energy   -39.02 eV/cell
Theoretical density   5.2 Mg/m³
Formation energy without anion corrections   -0.93 eV/atom

Geometry as CIF:
```
data_NaPuTl2I6
_chemical_formula_sum 'Na1 Pu1 Tl2 I6'
_cell_length_a 8.8014
_cell_length_b 8.8014
_cell_length_c 8.8014
_cell_angle_alpha 57.60
_cell_angle_beta 57.60
_cell_angle_gamma 57.60
_space_group_name_H-M_alt 'P 1'
_space_group_IT_number 1
loop_
_space_group_symop_operation_xyz
'x,y,z'
loop_
_atom_site_label
_atom_site_type_symbol
_atom_site_fract_x
_atom_site_fract_y
_atom_site_fract_z
Na1 Na 0.0000 0.0000 0.0000
Pu1 Pu 0.4952 0.4952 0.4952
Tl1 Tl 0.2923 0.2923 0.2923
Tl2 Tl 0.7983 0.7983 0.7983
I1 I 0.1427 0.7191 0.3623
I2 I 0.2445 0.6391 0.8395
I3 I 0.3623 0.1427 0.7191
I4 I 0.6391 0.8395 0.2445
I5 I 0.7191 0.3623 0.1427
I6 I 0.8395 0.2445 0.6391
```

=====

Record 5
A geometry-optimized Rb2NaI2 structure, computed with PBE.

## Properties
ΔE to the lowest computed polymorph   0.00 kJ/mol of atoms
Electronic total energy   -23.11 eV/cell
Theoretical density   3.1 Mg/m³
Formation energy without anion corrections   -1.04 eV/atom

Geometry as CIF:
```
data_Rb2NaI2
_chemical_formula_sum 'Rb4 Na2 I4'
_cell_length_a 10.0518
_cell_length_b 10.0518
_cell_length_c 4.7730
_cell_angle_alpha 90.00
_cell_angle_beta 90.00
_cell_angle_gamma 90.00
_space_group_name_H-M_alt 'P 1'
_space_group_IT_number 1
loop_
_space_group_symop_operation_xyz
'x,y,z'
loop_
_atom_site_label
_atom_site_type_symbol
_atom_site_fract_x
_atom_site_fract_y
_atom_site_fract_z
Rb1 Rb 0.1490 0.3510 0.0000
Rb2 Rb 0.3510 0.8510 0.0000
Rb3 Rb 0.6490 0.1490 0.0000
Rb4 Rb 0.8510 0.6490 0.0000
Na1 Na 0.0000 0.0000 0.5000
Na2 Na 0.5000 0.5000 0.5000
I1 I 0.1541 0.6541 0.5000
I2 I 0.3459 0.1541 0.5000
I3 I 0.6541 0.8459 0.5000
I4 I 0.8459 0.3459 0.5000
```

=====

Record 6
A geometry-optimized RbNaI2 structure, computed with PBE.

## Properties
ΔE to the lowest computed polymorph   9.85 kJ/mol of atoms
Electronic total energy   -10.41 eV/cell
Theoretical density   3.8 Mg/m³
Formation energy without anion corrections   -1.26 eV/atom

Geometry as CIF:
```
data_RbNaI2
_chemical_formula_sum 'Rb1 Na1 I2'
_cell_length_a 4.2583
_cell_length_b 4.2583
_cell_length_c 8.6449
_cell_angle_alpha 90.00
_cell_angle_beta 90.00
_cell_angle_gamma 90.00
_space_group_name_H-M_alt 'P 1'
_space_group_IT_number 1
loop_
_space_group_symop_operation_xyz
'x,y,z'
loop_
_atom_site_label
_atom_site_type_symbol
_atom_site_fract_x
_atom_site_fract_y
_atom_site_fract_z
Rb1 Rb 0.0000 0.0000 0.0000
Na1 Na 0.0000 0.0000 0.5000
I1 I 0.5000 0.5000 0.2685
I2 I 0.5000 0.5000 0.7315
```